Nb2Pd3Au2 | GGA-PBE | relaxed

Structure (extended XYZ):
```
7
Lattice="3.964 0.000 0.000 -1.975 4.659 0.000 -0.001 -0.848 6.380" Properties=species:S:1:pos:R:3 pbc="T T T"
Nb 0.001 1.027 2.621
Nb 1.986 2.785 3.759
Pd 0.000 0.000 0.000
Pd 0.002 1.983 5.438
Pd 1.985 1.829 0.942
Au 0.007 3.738 1.796
Au 1.980 0.073 4.584
```

Results
Space-group type: No. 2
Energy above the most stable polymorph in this dataset: 0 meV per atom
ρ: 12.669 Mg/m³
ΔH_f (0 K): -15 kJ/mol of atoms
Energy: -6.198 eV/atom